Record 1
A relaxed structure of NdSm6Dy4. Source: the Alexandria database, functional PBE-GGA.

excess energy over the best structure of this formula in the dataset = 0.000 eV per atom
DFT formation energy = 118 meV per atom

Lattice parameters (Å, degrees): 5.861 5.652 25.795 90.00 90.00 121.23
Sites, in units of the cell vectors:
Dy (0.549, 0.097, 0.877)
Sm (0.204, 0.409, 0.601)
Nd (0.785, 0.570, 0.250)
Sm (0.881, 0.762, 0.819)
Sm (0.500, 0.000, 0.000)
Nd (0.215, 0.430, 0.750)
Sm (0.796, 0.591, 0.399)
Dy (0.148, 0.296, 0.043)
Sm (0.447, 0.893, 0.250)
Sm (0.881, 0.762, 0.681)
Sm (0.119, 0.238, 0.319)
Sm (0.204, 0.409, 0.899)
Dy (0.451, 0.903, 0.123)
Dy (0.852, 0.704, 0.957)
Dy (0.852, 0.704, 0.543)
Dy (0.148, 0.296, 0.457)
Sm (0.119, 0.238, 0.181)
Sm (0.796, 0.591, 0.101)
Sm (0.553, 0.107, 0.750)
Dy (0.549, 0.097, 0.623)
Sm (0.500, 0.000, 0.500)
Dy (0.451, 0.903, 0.377)

Record 2
A relaxed structure of Nd6SmDy12. Source: the Alexandria database, functional PBE-GGA.

excess energy over the best structure of this formula in the dataset = 0.000 eV per atom
DFT formation energy = 118 meV per atom

Lattice parameters (Å, degrees): 8.698 8.698 8.698 79.62 79.62 79.62
Sites, in units of the cell vectors:
Nd (0.836, 0.231, 0.231)
Nd (0.769, 0.164, 0.769)
Dy (0.485, 0.485, 0.803)
Nd (0.231, 0.231, 0.836)
Nd (0.231, 0.836, 0.231)
Dy (0.484, 0.137, 0.137)
Dy (0.137, 0.137, 0.484)
Dy (0.515, 0.197, 0.515)
Dy (0.515, 0.515, 0.197)
Nd (0.164, 0.769, 0.769)
Dy (0.485, 0.803, 0.485)
Dy (0.197, 0.515, 0.515)
Dy (0.803, 0.485, 0.485)
Sm (0.000, 0.000, 0.000)
Dy (0.863, 0.516, 0.863)
Dy (0.863, 0.863, 0.516)
Dy (0.137, 0.484, 0.137)
Nd (0.769, 0.769, 0.164)
Dy (0.516, 0.863, 0.863)

Record 3
A relaxed structure of NdSm10Dy4. Source: the Alexandria database, functional PBE-GGA.

DFT formation energy = 715 meV per atom

Lattice parameters (Å, degrees): 7.766 9.529 9.529 80.44 65.95 65.95
Sites, in units of the cell vectors:
Sm (0.648, 0.302, 0.899)
Sm (0.950, 0.899, 0.698)
Sm (0.547, 0.101, 0.302)
Dy (0.200, 0.400, 0.200)
Sm (0.050, 0.101, 0.302)
Sm (0.250, 0.500, 0.500)
Sm (0.453, 0.899, 0.698)
Sm (0.352, 0.698, 0.101)
Nd (0.000, 0.000, 0.000)
Dy (0.600, 0.200, 0.600)
Dy (0.400, 0.800, 0.400)
Dy (0.800, 0.600, 0.800)
Sm (0.151, 0.302, 0.899)
Sm (0.849, 0.698, 0.101)
Sm (0.750, 0.500, 0.500)

> The highest DFT formation energy belongs to which entry?

NdSm10Dy4